(1)
# HoPuHf

A geometry-optimized HoPuHf structure (GGA-PBE, Alexandria).

For the density of states at the Fermi level, the calculation gives 2.58 states/eV/atom. The total moment is 1.64 μB/atom. Its energy above the most stable polymorph in this dataset is 268.2 meV/atom. The calculation puts the total energy at -220.71 eV for the cell shown. As for the crystal system: tetragonal. The value obtained for the formation energy is 123 kJ/mol of formula units.

It has space group I4/mmm (No. 139), with a = 11.141 Å, b = 11.141 Å, c = 5.136 Å, α = 90.00°, β = 90.00° and γ = 90.00°. The distinct sites, in fractional coordinates, are Ho at (0.171, 0.171, 0.000), Pu at (0.000, 0.378, 0.000) and Hf at (0.000, 0.220, 0.500).

=====

(2)
# HoPu2HfSb4

A geometry-optimized HoPu2HfSb4 structure (GGA-PBE, Alexandria).

For the density of states at the Fermi level, the calculation gives 3.15 states/eV/atom. The total moment is 1.34 μB/atom. The value obtained for the formation energy without anion corrections is -0.70 eV per atom. The calculation puts the total energy at -65.32 eV for the cell shown. As for the crystal system: monoclinic.

It has space group P2/m (No. 10), with a = 7.496 Å, b = 4.319 Å, c = 7.508 Å, α = 90.00°, β = 109.29° and γ = 90.00°. The distinct sites, in fractional coordinates, are Ho at (0.000, 0.000, 0.000), Pu at (0.500, 0.000, 0.500), Pu at (0.500, 0.500, 0.000), Hf at (0.000, 0.500, 0.500), Sb at (0.234, 0.000, 0.736) and Sb at (0.240, 0.500, 0.256).